This record from Alexandria via LeMat-Bulk describes RhSeCl at its PBEsol-relaxed geometry. The functional is SCAN.

```
RhSeCl
1.0
-1.718 1.718 4.754
1.718 -1.718 4.754
1.718 1.718 -4.754
Rh Se Cl
1 1 1
Cartesian
0.000 0.000 0.000 Rh
0.000 0.000 4.129 Se
0.000 0.000 7.127 Cl
```

Output
For the total energy, the calculation gives -61.74 eV for the cell shown. The formation energy from raw total energies comes out at 0.030 eV per atom.